Entry 1:
Density functional theory data (PBE) for a relaxed Lu4SnAsN2 crystal. Values from VASP.

Quantum ESPRESSO input file:
```
&SYSTEM
  ibrav = 0, nat = 8, ntyp = 4
/
ATOMIC_SPECIES
Lu 174.97 Lu.upf
Sn 118.71 Sn.upf
As 74.92 As.upf
N 14.01 N.upf
CELL_PARAMETERS angstrom
3.494 0.000 0.000
-1.747 3.026 0.000
0.000 0.000 13.905
ATOMIC_POSITIONS angstrom
Lu 0.000 0.000 1.968
Lu 0.000 0.000 11.937
Lu 0.000 2.017 4.529
Lu 0.000 2.017 9.376
Sn 0.000 0.000 6.952
As 0.000 2.017 0.000
N 1.747 1.009 3.282
N 1.747 1.009 10.623
```

Summary:
- Calculated volume: 18.4 Å³ per atom
- Electronic total energy: -53.79 eV/f.u.
- SG: No. 187
- Crystal system: hexagonal

=====

Entry 2:
Density functional theory data (PBE) for a relaxed TbTm2NiGe3Ir2 crystal. Values from VASP.

Quantum ESPRESSO input file:
```
&SYSTEM
  ibrav = 0, nat = 9, ntyp = 5
/
ATOMIC_SPECIES
Tb 158.93 Tb.upf
Tm 168.93 Tm.upf
Ni 58.69 Ni.upf
Ge 72.64 Ge.upf
Ir 192.22 Ir.upf
CELL_PARAMETERS angstrom
3.839 0.000 0.000
0.000 6.130 3.506
0.000 -6.130 3.506
ATOMIC_POSITIONS angstrom
Tb 0.000 0.000 0.000
Tm 0.000 -2.448 4.214
Tm 0.000 2.448 4.214
Ni 0.000 0.000 2.840
Ge 1.920 -1.539 1.943
Ge 1.920 1.539 1.943
Ge 1.920 0.000 4.570
Ir 1.920 -4.053 2.811
Ir 1.920 4.053 2.811
```

Summary:
- Calculated volume: 18.3 Å³ per atom
- Electronic total energy: -58.05 eV/f.u.
- SG: No. 38
- Crystal system: orthorhombic

=====

Entry 3:
Density functional theory data (PBE) for a relaxed AlNiB crystal. Values from VASP.

Quantum ESPRESSO input file:
```
&SYSTEM
  ibrav = 0, nat = 3, ntyp = 3
/
ATOMIC_SPECIES
Al 26.98 Al.upf
Ni 58.69 Ni.upf
B 10.81 B.upf
CELL_PARAMETERS angstrom
0.000 2.632 2.632
2.632 0.000 2.632
2.632 2.632 0.000
ATOMIC_POSITIONS angstrom
Al 0.000 0.000 0.000
Ni 1.316 1.316 1.316
B 3.949 3.949 3.949
```

Summary:
- Calculated volume: 12.2 Å³ per atom
- Electronic total energy: -14.50 eV/f.u.
- SG: No. 216
- Crystal system: cubic

=====

Entry 4:
Density functional theory data (PBE) for a relaxed TcAgNO crystal. Values from VASP.

Quantum ESPRESSO input file:
```
&SYSTEM
  ibrav = 0, nat = 16, ntyp = 4
/
ATOMIC_SPECIES
Tc 98.00 Tc.upf
Ag 107.87 Ag.upf
N 14.01 N.upf
O 16.00 O.upf
CELL_PARAMETERS angstrom
6.115 0.000 0.000
0.000 6.803 0.000
0.000 0.000 5.306
ATOMIC_POSITIONS angstrom
Tc 0.330 0.696 0.000
Tc 2.727 0.696 2.653
Tc 3.387 6.107 0.000
Tc 5.785 6.107 2.653
Ag 0.477 4.568 0.061
Ag 2.580 4.568 2.713
Ag 3.534 2.235 0.061
Ag 5.638 2.235 2.713
N 0.953 0.550 3.449
N 2.104 0.550 0.796
N 4.011 6.252 3.449
N 5.161 6.252 0.796
O 0.286 4.361 3.016
O 2.771 4.361 0.363
O 3.343 2.441 3.016
O 5.829 2.441 0.363
```

Summary:
- Calculated volume: 13.8 Å³ per atom
- SG: No. 29
- Crystal system: orthorhombic
- E above lowest polymorph: 1.224 kcal/mol of atoms

=====

Entry 5:
Density functional theory data (PBE) for a relaxed Zr2ScGe crystal. Values from VASP.

Quantum ESPRESSO input file:
```
&SYSTEM
  ibrav = 0, nat = 4, ntyp = 3
/
ATOMIC_SPECIES
Zr 91.22 Zr.upf
Sc 44.96 Sc.upf
Ge 72.64 Ge.upf
CELL_PARAMETERS angstrom
0.000 3.442 3.442
3.442 0.000 3.442
3.442 3.442 0.000
ATOMIC_POSITIONS angstrom
Zr 0.000 0.000 0.000
Zr 1.721 1.721 1.721
Sc 5.163 5.163 5.163
Ge 3.442 3.442 3.442
```

Summary:
- Calculated volume: 20.4 Å³ per atom
- Electronic total energy: -28.78 eV/f.u.
- SG: No. 216
- Crystal system: cubic

=====

Entry 6:
Density functional theory data (PBE) for a relaxed LuCdInFe crystal. Values from VASP.

Quantum ESPRESSO input file:
```
&SYSTEM
  ibrav = 0, nat = 4, ntyp = 4
/
ATOMIC_SPECIES
Lu 174.97 Lu.upf
Cd 112.41 Cd.upf
In 114.82 In.upf
Fe 55.84 Fe.upf
CELL_PARAMETERS angstrom
0.000 3.424 3.424
3.424 0.000 3.424
3.424 3.424 0.000
ATOMIC_POSITIONS angstrom
Lu 0.000 0.000 0.000
Cd 1.712 1.712 1.712
In 3.424 3.424 3.424
Fe 5.136 5.136 5.136
```

Summary:
- Calculated volume: 20.1 Å³ per atom
- SG: No. 216
- Crystal system: cubic
- E above lowest polymorph: 0.171 kcal/mol of atoms

=====

Entry 7:
Density functional theory data (PBE) for a relaxed LuCuTcBi crystal. Values from VASP.

Quantum ESPRESSO input file:
```
&SYSTEM
  ibrav = 0, nat = 4, ntyp = 4
/
ATOMIC_SPECIES
Lu 174.97 Lu.upf
Cu 63.55 Cu.upf
Tc 98.00 Tc.upf
Bi 208.98 Bi.upf
CELL_PARAMETERS angstrom
0.000 3.421 3.421
3.421 0.000 3.421
3.421 3.421 0.000
ATOMIC_POSITIONS angstrom
Lu 0.000 0.000 0.000
Cu 3.421 3.421 3.421
Tc 5.131 5.131 5.131
Bi 1.710 1.710 1.710
```

Summary:
- Calculated volume: 20.0 Å³ per atom
- SG: No. 216
- Crystal system: cubic
- E above lowest polymorph: 6.398 kcal/mol of atoms

=====

Entry 8:
Density functional theory data (PBE) for a relaxed Gd2LuIn3Cu3 crystal. Values from VASP.

Quantum ESPRESSO input file:
```
&SYSTEM
  ibrav = 0, nat = 9, ntyp = 4
/
ATOMIC_SPECIES
Gd 157.25 Gd.upf
Lu 174.97 Lu.upf
In 114.82 In.upf
Cu 63.55 Cu.upf
CELL_PARAMETERS angstrom
3.875 0.000 0.000
0.000 6.502 3.761
0.000 -6.502 3.761
ATOMIC_POSITIONS angstrom
Gd 0.000 -3.835 3.761
Gd 0.000 3.835 3.761
Lu 0.000 0.000 4.624
In 1.937 -1.650 2.525
In 1.937 1.650 2.525
In 1.937 0.000 7.134
Cu 0.000 0.000 1.564
Cu 1.937 -2.125 5.302
Cu 1.937 2.125 5.302
```

Summary:
- Calculated volume: 21.1 Å³ per atom
- Electronic total energy: -36.88 eV/f.u.
- SG: No. 38
- Crystal system: orthorhombic

=====

Entry 9:
Density functional theory data (PBE) for a relaxed DyHoMg2Cu4 crystal. Values from VASP.

Quantum ESPRESSO input file:
```
&SYSTEM
  ibrav = 0, nat = 8, ntyp = 4
/
ATOMIC_SPECIES
Dy 162.50 Dy.upf
Ho 164.93 Ho.upf
Mg 24.30 Mg.upf
Cu 63.55 Cu.upf
CELL_PARAMETERS angstrom
4.672 0.000 0.000
0.000 4.672 0.000
0.000 0.000 6.617
ATOMIC_POSITIONS angstrom
Dy 0.000 0.000 0.000
Ho 2.336 2.336 3.308
Mg 0.000 0.000 3.308
Mg 2.336 2.336 0.000
Cu 0.000 2.336 1.657
Cu 0.000 2.336 4.960
Cu 2.336 0.000 1.657
Cu 2.336 0.000 4.960
```

Summary:
- Calculated volume: 18.1 Å³ per atom
- Electronic total energy: -28.81 eV/f.u.
- SG: No. 123
- Crystal system: tetragonal

=====

Entry 10:
Density functional theory data (PBE) for a relaxed Er4Ga12Fe crystal. Values from VASP.

Quantum ESPRESSO input file:
```
&SYSTEM
  ibrav = 0, nat = 17, ntyp = 3
/
ATOMIC_SPECIES
Er 167.26 Er.upf
Ga 69.72 Ga.upf
Fe 55.84 Fe.upf
CELL_PARAMETERS angstrom
-4.265 4.265 4.265
4.265 -4.265 4.265
4.265 4.265 -4.265
ATOMIC_POSITIONS angstrom
Er 2.132 2.132 -2.132
Er 2.132 -2.132 2.132
Er -2.132 2.132 2.132
Er 2.132 2.132 2.132
Ga 2.426 0.000 0.000
Ga 6.104 0.000 0.000
Ga 4.265 2.132 0.000
Ga 4.265 0.000 2.132
Ga 0.000 2.426 0.000
Ga 0.000 0.000 2.426
Ga 2.132 4.265 0.000
Ga 2.132 0.000 4.265
Ga 0.000 6.104 0.000
Ga 0.000 0.000 6.104
Ga 0.000 4.265 2.132
Ga 0.000 2.132 4.265
Fe 0.000 0.000 0.000
```

Summary:
- Calculated volume: 18.3 Å³ per atom
- Electronic total energy: -71.71 eV/f.u.
- SG: No. 229
- Crystal system: cubic

=====

Entry 11:
Density functional theory data (PBE) for a relaxed AcTaO3 crystal. Values from VASP.

Quantum ESPRESSO input file:
```
&SYSTEM
  ibrav = 0, nat = 10, ntyp = 3
/
ATOMIC_SPECIES
Ac 227.00 Ac.upf
Ta 180.95 Ta.upf
O 16.00 O.upf
CELL_PARAMETERS angstrom
2.908 1.679 5.205
-2.908 1.679 5.205
0.000 -3.358 5.205
ATOMIC_POSITIONS angstrom
Ac 0.000 0.000 2.160
Ac 0.000 0.000 13.454
Ta 0.000 0.000 5.281
Ta 0.000 0.000 10.333
O -1.809 -0.217 6.292
O -0.716 -1.675 9.322
O 1.092 -1.458 6.292
O -1.092 1.458 9.322
O 0.716 1.675 6.292
O 1.809 0.217 9.322
```

Summary:
- Calculated volume: 15.2 Å³ per atom
- Electronic total energy: -43.01 eV/f.u.
- SG: No. 148
- Crystal system: trigonal

=====

Entry 12:
Density functional theory data (PBE) for a relaxed PrSbIr crystal. Values from VASP.

Quantum ESPRESSO input file:
```
&SYSTEM
  ibrav = 0, nat = 9, ntyp = 3
/
ATOMIC_SPECIES
Pr 140.91 Pr.upf
Sb 121.76 Sb.upf
Ir 192.22 Ir.upf
CELL_PARAMETERS angstrom
7.130 0.000 0.000
-3.565 6.175 0.000
0.000 0.000 4.609
ATOMIC_POSITIONS angstrom
Pr -2.027 3.512 0.000
Pr 1.538 2.664 0.000
Pr 4.055 0.000 0.000
Sb 0.000 0.000 0.000
Sb 0.000 4.117 2.304
Sb 3.565 2.058 2.304
Ir -0.829 1.437 2.304
Ir 1.659 0.000 2.304
Ir 2.736 4.739 2.304
```

Summary:
- Calculated volume: 22.5 Å³ per atom
- Electronic total energy: -19.89 eV/f.u.
- SG: No. 189
- Crystal system: hexagonal